! RbCaPb4 GGA-PBE optimized geometry; values from VASP
! Energy relative to the elements (eV/atom): -0.168
! Crystal system: cubic
&SYSTEM
  ibrav = 0, nat = 6, ntyp = 3
/
ATOMIC_SPECIES
Pb 207.20 Pb.upf
Ca 40.08 Ca.upf
Rb 85.47 Rb.upf
CELL_PARAMETERS angstrom
6.6928 0.0000 0.0000
3.3464 5.7961 0.0000
3.3464 1.9320 5.4646
ATOMIC_POSITIONS crystal
Pb 0.6261 0.6261 0.1216
Pb 0.6261 0.1216 0.6261
Pb 0.6261 0.6261 0.6261
Pb 0.1216 0.6261 0.6261
Ca 0.0000 0.0000 0.0000
Rb 0.2500 0.2500 0.2500

! HfBe2Te2 GGA-PBE optimized geometry; values from VASP
! E above lowest polymorph (meV/atom): 40.6
! Uncorrected formation energy (eV per atom): 0.350
! Crystal system: tetragonal
&SYSTEM
  ibrav = 0, nat = 10, ntyp = 3
/
ATOMIC_SPECIES
Be 9.01 Be.upf
Te 127.60 Te.upf
Hf 178.49 Hf.upf
CELL_PARAMETERS angstrom
7.5148 0.0000 0.0000
0.0000 7.5148 0.0000
0.0000 0.0000 3.6792
ATOMIC_POSITIONS crystal
Be 0.1956 0.6956 0.5000
Be 0.6956 0.8044 0.5000
Be 0.8044 0.3044 0.5000
Be 0.3044 0.1956 0.5000
Te 0.3446 0.8446 0.0000
Te 0.8446 0.6554 0.0000
Te 0.6554 0.1554 0.0000
Te 0.1554 0.3446 0.0000
Hf 0.0000 0.0000 0.0000
Hf 0.5000 0.5000 0.0000

no.,magnetization (μB/f.u.)
1,0.0
2,0.0